! VGaBiMo2, optimized geometry, DFT PBE; values from VASP
&SYSTEM
  ibrav = 0, nat = 5, ntyp = 4
/
ATOMIC_SPECIES
Bi 208.98 Bi.upf
Mo 95.94 Mo.upf
V 50.94 V.upf
Ga 69.72 Ga.upf
ATOMIC_POSITIONS crystal
Bi 0.0000 0.5000 0.0000
Mo 0.0000 0.0000 0.5000
V 0.5000 0.5000 0.5000
Mo 0.5000 0.0000 0.0000
Ga 0.0000 0.0000 0.0000
CELL_PARAMETERS angstrom
-2.1018 -0.5560 -4.1321
4.0076 -2.8077 -1.6607
-2.0665 -3.8801 1.5732
! Calculated total energy = -28.748 eV for the cell shown